[1]
KTa2W: relaxed, PBE.

It has space group Cmmm (No. 65), with a = 6.125 Å, b = 9.696 Å, c = 2.699 Å, α = 90.00°, β = 90.00° and γ = 90.00°. Symmetry generates all atoms from K at (0.000, 0.000, 0.000), Ta at (0.250, 0.250, 0.500) and W at (0.000, 0.500, 0.000).

The calculation puts the total magnetization at 0.000 μB per atom. Its relative energy among the computed polymorphs is 796 meV per atom. For the formation energy, the calculation gives 1414.6 meV per atom. For the density of states at the Fermi level, the calculation gives 1.231 states/eV per atom.

[2]
KTa2W: relaxed, PBE.

It has space group P4/mmm (No. 123), with a = 3.231 Å, b = 3.231 Å, c = 9.615 Å, α = 90.00°, β = 90.00° and γ = 90.00°. Symmetry generates all atoms from K at (0.000, 0.000, 0.000), Ta at (0.500, 0.500, 0.345) and W at (0.000, 0.000, 0.500).

The calculation puts the total magnetization at 0.000 μB per atom. Its relative energy among the computed polymorphs is 129 meV per atom. For the formation energy, the calculation gives 748.2 meV per atom. For the density of states at the Fermi level, the calculation gives 1.106 states/eV per atom.

[3]
KTa2W: relaxed, PBE.

It has space group P4/mmm (No. 123), with a = 2.786 Å, b = 2.786 Å, c = 11.153 Å, α = 90.00°, β = 90.00° and γ = 90.00°. Symmetry generates all atoms from K at (0.000, 0.000, 0.000), Ta at (0.500, 0.500, 0.299) and W at (0.000, 0.000, 0.500).

The calculation puts the total magnetization at 0.000 μB per atom. Its relative energy among the computed polymorphs is 208 meV per atom. For the formation energy, the calculation gives 827.5 meV per atom. For the density of states at the Fermi level, the calculation gives 0.636 states/eV per atom.